! Rb2SiSF6 | Alexandria | PBE-GGA | relaxed; values from VASP
&SYSTEM
  ibrav = 0, nat = 10, ntyp = 4
/
ATOMIC_SPECIES
Rb 85.47 Rb.upf
F 19.00 F.upf
S 32.06 S.upf
Si 28.09 Si.upf
CELL_PARAMETERS angstrom
6.9221 0.0000 0.0000
0.0000 6.9221 0.0000
3.4610 3.4610 3.8617
ATOMIC_POSITIONS crystal
Rb 0.7500 0.2500 0.5000
F 0.6730 0.3270 0.0000
F 0.3270 0.6730 0.0000
F 0.7292 0.7292 0.5415
F 0.3270 0.3270 0.0000
F 0.6730 0.6730 0.0000
F 0.2708 0.2708 0.4585
S 0.0000 0.0000 0.0000
Si 0.5000 0.5000 0.0000
Rb 0.2500 0.7500 0.5000
! Symmetry = No. 139
! Formation energy from raw total energies = -2.4605 eV/atom
! Calculated total energy = -4.732 eV per atom